Below is crystalline GaPPd4 at its relaxed geometry, with properties calculated at the PBE-GGA level. Values from VASP.

Structure (Quantum ESPRESSO input):
```
&SYSTEM
  ibrav = 0, nat = 24, ntyp = 3
/
ATOMIC_SPECIES
Pd 106.42 Pd.upf
P 30.97 P.upf
Ga 69.72 Ga.upf
ATOMIC_POSITIONS crystal
Pd 0.750 0.868 0.450
Pd 0.250 0.626 0.153
Pd 0.750 0.368 0.050
Pd 0.750 0.985 0.932
Pd 0.250 0.015 0.068
Pd 0.750 0.374 0.847
Pd 0.750 0.485 0.568
Pd 0.250 0.132 0.550
Pd 0.250 0.546 0.713
Pd 0.250 0.126 0.347
Pd 0.250 0.046 0.787
Pd 0.250 0.515 0.432
Pd 0.750 0.954 0.213
Pd 0.250 0.632 0.950
Pd 0.750 0.454 0.287
Pd 0.750 0.874 0.653
P 0.250 0.249 0.941
P 0.750 0.751 0.059
P 0.750 0.251 0.441
P 0.250 0.749 0.559
Ga 0.750 0.243 0.691
Ga 0.750 0.743 0.809
Ga 0.250 0.757 0.309
Ga 0.250 0.257 0.191
CELL_PARAMETERS angstrom
-0.540 -3.346 -0.588
3.287 -1.505 5.551
-13.353 0.730 8.105
```

Values from the calculation:
final energy = -5.433 eV/atom
DOS(E_F) = 1.3 states/eV/f.u.
energy relative to the elements = -3.388 eV/f.u.
SG = Pnma
energy above the lowest structure with this stoichiometry = 0.000 eV/atom